# 1
Material: MgCoTe2O8
Method: DFT, PBE+U
State: relaxed

Volume   14.1 A^3/atom
Final energy   -5.376 eV per atom

Cell: 5.765 5.765 5.897 Å, 90.00 90.00 120.00°
Element x y z (fractional)
Mg: 0.000 0.000 0.000
Co: 0.000 0.000 0.500
Te: 0.333 0.667 0.671
Te: 0.667 0.333 0.329
O: 0.154 0.308 0.760
O: 0.154 0.846 0.760
O: 0.308 0.154 0.240
O: 0.333 0.667 0.366
O: 0.667 0.333 0.634
O: 0.692 0.846 0.760
O: 0.846 0.154 0.240
O: 0.846 0.692 0.240


# 2
Material: MgCoTeO6
Method: DFT, PBE+U
State: relaxed

Volume   10.9 A^3/atom
Final energy   -5.701 eV per atom

Cell: 4.984 4.984 9.158 Å, 90.00 90.00 120.00°
Element x y z (fractional)
Mg: 0.000 0.000 0.000
Mg: 0.000 0.000 0.500
Co: 0.333 0.667 0.250
Co: 0.667 0.333 0.750
Te: 0.333 0.667 0.750
Te: 0.667 0.333 0.250
O: 0.010 0.360 0.136
O: 0.010 0.650 0.364
O: 0.350 0.360 0.364
O: 0.350 0.990 0.136
O: 0.360 0.010 0.636
O: 0.360 0.350 0.864
O: 0.640 0.650 0.136
O: 0.640 0.990 0.364
O: 0.650 0.010 0.864
O: 0.650 0.640 0.636
O: 0.990 0.350 0.636
O: 0.990 0.640 0.864